Entry 1:
! NaCeBi2 (PBE-GGA, optimized geometry); values from VASP
&SYSTEM
  ibrav = 0, nat = 4, ntyp = 3
/
ATOMIC_SPECIES
Na 22.99 Na.upf
Ce 140.12 Ce.upf
Bi 208.98 Bi.upf
CELL_PARAMETERS angstrom
3.679 -3.688 0.000
3.679 3.688 0.000
0.000 0.000 4.349
ATOMIC_POSITIONS crystal
Na 0.000 0.000 0.000
Ce 0.500 0.500 0.000
Bi 0.000 0.500 0.500
Bi 0.500 0.000 0.500
! - D(E_F): 1.6404 states/eV per atom
! - Energy of formation from the pure elements: -514 meV per atom



Entry 2:
! TaAlMo4 (PBE-GGA, optimized geometry); values from VASP
&SYSTEM
  ibrav = 0, nat = 6, ntyp = 3
/
ATOMIC_SPECIES
Ta 180.95 Ta.upf
Al 26.98 Al.upf
Mo 95.94 Mo.upf
CELL_PARAMETERS angstrom
0.000 3.697 3.697
3.697 0.000 3.697
3.697 3.697 0.000
ATOMIC_POSITIONS crystal
Ta 0.000 0.000 0.000
Al 0.750 0.750 0.750
Mo 0.375 0.375 0.375
Mo 0.375 0.375 0.874
Mo 0.375 0.874 0.375
Mo 0.874 0.375 0.375
! - D(E_F): 0.4654 states/eV per atom
! - Energy of formation from the pure elements: 54 meV per atom



Entry 3:
! ErInAu (PBE-GGA, optimized geometry); values from VASP
&SYSTEM
  ibrav = 0, nat = 9, ntyp = 3
/
ATOMIC_SPECIES
Er 167.26 Er.upf
In 114.82 In.upf
Au 196.97 Au.upf
CELL_PARAMETERS angstrom
7.694 0.000 0.000
-3.847 6.663 0.000
0.000 0.000 4.007
ATOMIC_POSITIONS crystal
Er 0.000 0.594 0.000
Er 0.406 0.406 0.000
Er 0.594 0.000 0.000
In 0.000 0.260 0.500
In 0.260 0.000 0.500
In 0.740 0.740 0.500
Au 0.000 0.000 0.000
Au 0.333 0.667 0.500
Au 0.667 0.333 0.500
! - D(E_F): 0.3509 states/eV per atom
! - Energy of formation from the pure elements: -736 meV per atom